No. 1
## K3NaCr (meta-GGA SCAN)

Data for a crystal of K3NaCr relaxed with PBEsol.

Cell: 6.684 6.684 6.684 Å, 90.00 90.00 90.00°
Atoms (fractional coordinates):
1 K 0.000 0.000 0.500
2 K 0.000 0.500 0.000
3 K 0.500 0.000 0.000
4 Na 0.500 0.500 0.500
5 Cr 0.000 0.000 0.000

Its space-group type is Pm-3m (221). As for the raw total energy: -0.6650 Ry per atom. Its density of states at the Fermi level is 2.3 states/eV/cell.

No. 2
## ZnCdAsBr2 (meta-GGA SCAN)

Data for a crystal of ZnCdAsBr2 relaxed with PBEsol.

Cell: 4.981 4.981 5.074 Å, 90.00 90.00 90.00°
Atoms (fractional coordinates):
1 Zn 0.000 0.000 0.000
2 Cd 0.500 0.500 0.500
3 As 0.000 0.000 0.500
4 Br 0.000 0.500 0.000
5 Br 0.500 0.000 0.000

The value obtained for the formation energy (no corrections) is 0.0847 eV/atom. Its space-group type is P4/mmm (123). Its density of states at the Fermi level is 1.6 states/eV/cell.

No. 3
## K2LiTbCl6 (meta-GGA SCAN)

Data for a crystal of K2LiTbCl6 relaxed with PBEsol.

Cell: 7.211 7.211 7.211 Å, 60.00 60.00 60.00°
Atoms (fractional coordinates):
1 K 0.250 0.250 0.250
2 K 0.750 0.750 0.750
3 Li 0.000 0.000 0.000
4 Tb 0.500 0.500 0.500
5 Cl 0.245 0.245 0.755
6 Cl 0.245 0.755 0.245
7 Cl 0.245 0.755 0.755
8 Cl 0.755 0.245 0.245
9 Cl 0.755 0.245 0.755
10 Cl 0.755 0.755 0.245

The value obtained for the formation energy (no corrections) is -2.3045 eV/atom. Its space-group type is Fm-3m (225). Its density of states at the Fermi level is 0.0 states/eV/cell.